RbNb2I | PBEsol | relaxed

Computed properties:
SG: Fm-3m (225)

Unit cell a=4.889 b=4.889 c=4.889 alpha=60.00 beta=60.00 gamma=60.00
Element x y z (fractional)
Rb: 0.000 0.000 0.000
Nb: 0.750 0.750 0.750
Nb: 0.250 0.250 0.250
I: 0.500 0.500 0.500

=====

NbRe3I | PBEsol | relaxed

Computed properties:
SG: Pm-3m (221)

Unit cell a=4.701 b=4.701 c=4.701 alpha=90.00 beta=90.00 gamma=90.00
Element x y z (fractional)
Re: 0.000 0.500 0.000
Re: 0.500 0.000 0.000
Re: 0.000 0.000 0.500
I: 0.000 0.000 0.000
Nb: 0.500 0.500 0.500

=====

Nb2ReI | PBEsol | relaxed

Computed properties:
SG: Fm-3m (225)

Unit cell a=4.663 b=4.663 c=4.663 alpha=60.00 beta=60.00 gamma=60.00
Element x y z (fractional)
Nb: 0.250 0.250 0.250
Nb: 0.750 0.750 0.750
Re: 0.500 0.500 0.500
I: 0.000 0.000 0.000

=====

NbReSbI2 | PBEsol | relaxed

Computed properties:
SG: P4/mmm (123)

Unit cell a=5.352 b=5.352 c=5.487 alpha=90.00 beta=90.00 gamma=90.00
Element x y z (fractional)
Re: 0.500 0.500 0.500
Nb: 0.000 0.000 0.000
I: 0.000 0.500 0.000
I: 0.500 0.000 0.000
Sb: 0.000 0.000 0.500

=====

Nb3SbI | PBEsol | relaxed

Computed properties:
SG: Pm-3m (221)

Unit cell a=5.074 b=5.074 c=5.074 alpha=90.00 beta=90.00 gamma=90.00
Element x y z (fractional)
I: 0.500 0.500 0.500
Nb: 0.000 0.000 0.500
Nb: 0.000 0.500 0.000
Nb: 0.500 0.000 0.000
Sb: 0.000 0.000 0.000

=====

SrNbSb2I | PBEsol | relaxed

Computed properties:
SG: P4/mmm (123)

Unit cell a=5.806 b=5.806 c=5.849 alpha=90.00 beta=90.00 gamma=90.00
Element x y z (fractional)
Sb: 0.000 0.500 0.000
Sb: 0.500 0.000 0.000
Nb: 0.500 0.500 0.500
Sr: 0.000 0.000 0.000
I: 0.000 0.000 0.500

=====

Here are the calculated volume numbers, same order: 82.6 103.9 71.7 157.2 130.6 197.2 (Å³/f.u.).
Here are the calculated energy relative to the elements, uncorrected numbers, same order: 6.4 14.1 2.8 7.9 7.8 6.3 (eV/f.u.).